A relaxed PrDy3Hg crystal. Source: Alexandria, functional GGA-PBE.

Results
energy relative to the lowest polymorph listed for this composition: 0.000 eV per atom
total DFT energy (no corrections): -0.145 Ha/atom
formation energy from the elements: -0.168 eV/atom
magnetic moment: 0.00 μB per formula unit

Cell: 29.7590 3.6544 5.5632 Å, 90.00 90.27 90.00°
Space group C2/m (No. 12)
Inequivalent atoms, fractional coordinates:
Pr 0.2334 0.0000 0.2493 x4
Dy 0.0482 0.5000 0.7379 x4
Dy 0.1254 0.5000 0.2458 x4
Dy 0.1572 0.0000 0.7480 x4
Hg 0.0407 0.0000 0.2310 x4

=====

A relaxed Tm4BiN crystal. Source: Alexandria, functional GGA-PBE.

Results
formation energy (no corrections): -0.642 eV per atom
total DFT energy (no corrections): -0.208 Ha/atom
magnetic moment: 0.00 μB per formula unit

Cell: 23.6494 3.5817 8.1623 Å, 90.00 109.33 90.00°
Space group C2/m (No. 12)
Inequivalent atoms, fractional coordinates:
Tm 0.0261 0.0000 0.2458 x4
Tm 0.1158 0.5000 0.0347 x4
Tm 0.1842 0.0000 0.4278 x4
Tm 0.2244 0.5000 0.8142 x4
Bi 0.0970 0.0000 0.6618 x4
N 0.1072 0.0000 0.1834 x4

=====

A relaxed Pm2AgPd crystal. Source: Alexandria, functional GGA-PBE.

Results
energy relative to the lowest polymorph listed for this composition: 0.035 eV per atom
total DFT energy (no corrections): -0.180 Ha/atom
formation energy from the elements: -0.506 eV/atom
magnetic moment: 0.00 μB per formula unit

Cell: 7.3294 7.3294 7.3294 Å, 90.00 90.00 90.00°
Space group Fm-3m (No. 225)
Inequivalent atoms, fractional coordinates:
Pm 0.2500 0.2500 0.2500 x8
Ag 0.0000 0.0000 0.0000 x4
Pd 0.0000 0.0000 0.5000 x4

=====

A relaxed KBa2Re crystal. Source: Alexandria, functional GGA-PBE.

Results
energy relative to the lowest polymorph listed for this composition: 0.150 eV per atom
total DFT energy (no corrections): -0.123 Ha/atom
formation energy from the elements: 0.992 eV/atom
magnetic moment: 1.46 μB per formula unit

Cell: 3.6262 5.4040 18.6711 Å, 90.00 90.00 90.00°
Space group Imm2 (No. 44)
Inequivalent atoms, fractional coordinates:
K 0.0000 0.0000 0.0000 x2
Ba 0.0000 0.0000 0.6865 x2
Ba 0.0000 0.5000 0.8445 x2
Re 0.0000 0.5000 0.3255 x2

=====

A relaxed Er3Ga3Ni2 crystal. Source: Alexandria, functional GGA-PBE.

Results
total DFT energy (no corrections): -0.181 Ha/atom
formation energy from the elements: -0.632 eV/atom
magnetic moment: 0.00 μB per formula unit

Cell: 4.2502 10.0798 14.3471 Å, 90.00 90.00 90.00°
Space group Cmcm (No. 63)
Inequivalent atoms, fractional coordinates:
Er 0.0000 0.0853 0.1077 x8
Er 0.0000 0.3646 0.2500 x4
Ga 0.0000 0.3383 0.7500 x4
Ga 0.0000 0.3734 0.0390 x8
Ni 0.0000 0.2046 0.6024 x8

=====

A relaxed Cs7Rb3 crystal. Source: Alexandria, functional GGA-PBE.

Results
total DFT energy (no corrections): -0.032 Ha/atom
formation energy from the elements: 0.023 eV/atom
magnetic moment: 0.00 μB per formula unit

Cell: 15.6035 15.6035 10.4575 Å, 90.00 90.00 120.00°
Space group P6_3mc (No. 186)
Inequivalent atoms, fractional coordinates:
Cs 0.0572 0.5286 0.0000 x6
Cs 0.1211 0.2422 0.2328 x6
Cs 0.3333 0.6667 0.3245 x2
Rb 0.2148 0.4296 0.6828 x6

=====

A relaxed VGe2Se4 crystal. Source: Alexandria, functional GGA-PBE.

Results
formation energy (no corrections): -0.134 eV per atom
energy relative to the lowest polymorph listed for this composition: 0.273 eV per atom
total DFT energy (no corrections): -0.174 Ha/atom
magnetic moment: 2.70 μB per formula unit

Cell: 7.4134 7.4134 6.6647 Å, 90.00 90.00 90.00°
Space group I4/m (No. 87)
Inequivalent atoms, fractional coordinates:
V 0.0000 0.0000 0.0000 x2
Ge 0.0000 0.5000 0.2500 x4
Se 0.1715 0.7037 0.0000 x8

=====

A relaxed BaCo2Si crystal. Source: Alexandria, functional GGA-PBE.

Results
formation energy (no corrections): 0.893 eV per atom
total DFT energy (no corrections): -0.165 Ha/atom
magnetic moment: 0.17 μB per formula unit

Cell: 3.7775 3.7775 9.9061 Å, 90.00 90.00 90.00°
Space group I-4m2 (No. 119)
Inequivalent atoms, fractional coordinates:
Ba 0.0000 0.0000 0.0000 x2
Co 0.0000 0.0000 0.5000 x2
Co 0.0000 0.5000 0.7500 x2
Si 0.0000 0.5000 0.2500 x2

=====

A relaxed RbLaGa3 crystal. Source: Alexandria, functional GGA-PBE.

Results
energy relative to the lowest polymorph listed for this composition: 0.000 eV per atom
total DFT energy (no corrections): -0.097 Ha/atom
formation energy from the elements: 0.356 eV/atom
magnetic moment: 0.00 μB per formula unit

Cell: 5.8713 5.8713 5.8713 Å, 90.00 90.00 90.00°
Space group Pm-3m (No. 221)
Inequivalent atoms, fractional coordinates:
Rb 0.0000 0.0000 0.0000 x1
La 0.5000 0.5000 0.5000 x1
Ga 0.0000 0.5000 0.5000 x3

=====

A relaxed KScP2Pt4 crystal. Source: Alexandria, functional GGA-PBE.

Results
total DFT energy (no corrections): -0.222 Ha/atom
formation energy from the elements: -0.737 eV/atom
magnetic moment: 0.00 μB per formula unit

Cell: 4.0130 4.0130 10.2795 Å, 90.00 90.00 90.00°
Space group P4/mmm (No. 123)
Inequivalent atoms, fractional coordinates:
K 0.0000 0.0000 0.0000 x1
Sc 0.0000 0.0000 0.5000 x1
P 0.5000 0.5000 0.1924 x2
Pt 0.0000 0.5000 0.3113 x4

=====

A relaxed Cs2TbPu2Se6 crystal. Source: Alexandria, functional GGA-PBE.

Results
formation energy (no corrections): -1.528 eV per atom
total DFT energy (no corrections): -0.243 Ha/atom
magnetic moment: 9.00 μB per formula unit

Cell: 7.3054 12.6647 8.8825 Å, 90.00 105.69 90.00°
Space group C2/m (No. 12)
Inequivalent atoms, fractional coordinates:
Cs 0.0000 0.1654 0.0000 x4
Tb 0.0000 0.0000 0.5000 x2
Pu 0.0000 0.3336 0.5000 x4
Se 0.2231 0.5000 0.6806 x4
Se 0.2274 0.1685 0.6806 x8

=====

A relaxed TlTcRh2 crystal. Source: Alexandria, functional GGA-PBE.

Results
energy relative to the lowest polymorph listed for this composition: 0.000 eV per atom
total DFT energy (no corrections): -0.249 Ha/atom
formation energy from the elements: 0.091 eV/atom
magnetic moment: 0.00 μB per formula unit

Cell: 2.8644 2.8644 7.9001 Å, 90.00 90.00 90.00°
Space group P4/mmm (No. 123)
Inequivalent atoms, fractional coordinates:
Tl 0.0000 0.0000 0.0000 x1
Tc 0.0000 0.0000 0.5000 x1
Rh 0.5000 0.5000 0.2757 x2

=====

A relaxed BaSnAsBr2 crystal. Source: Alexandria, functional GGA-PBE.

Results
formation energy (no corrections): -0.252 eV per atom
energy relative to the lowest polymorph listed for this composition: 0.533 eV per atom
total DFT energy (no corrections): -0.112 Ha/atom
magnetic moment: 1.01 μB per formula unit

Cell: 6.0416 6.0416 6.5563 Å, 90.00 90.00 90.00°
Space group P4/mmm (No. 123)
Inequivalent atoms, fractional coordinates:
Ba 0.0000 0.0000 0.0000 x1
Sn 0.5000 0.5000 0.5000 x1
As 0.0000 0.0000 0.5000 x1
Br 0.0000 0.5000 0.0000 x2